a) A plane-wave DFT calculation with GGA-PBE was carried out for an optimized crystal structure of AcPmTm.

The volume is 109 Å³/cell. As for the density of states at the Fermi level: 1.560 states/eV per atom.

The space group is P3m1 (No. 156) and the conventional cell measures 3.7396, 3.7396 and 8.9835 Å, with angles of 90.00, 90.00 and 120.00 degrees. The distinct sites, in fractional coordinates, are Ac at (0.0000, 0.0000, 0.0000), Pm at (0.3333, 0.6667, 0.6497) and Tm at (0.6667, 0.3333, 0.3353).

b) A plane-wave DFT calculation with GGA-PBE was carried out for an optimized crystal structure of AcPmTm.

The volume is 229 Å³/cell. As for the density of states at the Fermi level: 1.591 states/eV per atom.

The space group is P4/nmm (No. 129, origin choice 2) and the conventional cell measures 5.112, 5.112 and 8.767 Å, with angles of 90.00, 90.00 and 90.00 degrees. The distinct sites, in fractional coordinates, are Ac at (0.250, 0.750, 0.000), Pm at (0.250, 0.250, 0.303) and Tm at (0.250, 0.250, 0.698).

Which of them is most stable? Easy: a).

a) A plane-wave DFT calculation with GGA-PBE was carried out for an optimized crystal structure of AcPm5Tm2.

The volume is 549 Å³/cell. As for the density of states at the Fermi level: 1.386 states/eV per atom.

The space group is Pbam (No. 55) and the conventional cell measures 7.306, 14.614 and 5.142 Å, with angles of 90.00, 90.00 and 90.00 degrees. The distinct sites, in fractional coordinates, are Ac at (0.000, 0.000, 0.000), Pm at (0.000, 0.500, 0.000), Pm at (0.002, 0.252, 0.000), Pm at (0.245, 0.628, 0.500) and Tm at (0.249, 0.373, 0.500).

b) A plane-wave DFT calculation with GGA-PBE was carried out for an optimized crystal structure of AcPm5Tm2.

The volume is 1127 Å³/cell. As for the density of states at the Fermi level: 1.712 states/eV per atom.

The space group is C2/c (No. 15) and the conventional cell measures 17.196, 10.172 and 6.500 Å, with angles of 90.00, 97.69 and 90.00 degrees. The distinct sites, in fractional coordinates, are Ac at (0.250, 0.250, 0.000), Pm at (0.000, 0.047, 0.750), Pm at (0.099, 0.414, 0.623), Pm at (0.188, 0.095, 0.499) and Tm at (0.067, 0.253, 0.101).

Which of them is most stable? Easy: a).

a) A plane-wave DFT calculation with GGA-PBE was carried out for an optimized crystal structure of Ac2PmY.

The volume is 155 Å³/cell. As for the density of states at the Fermi level: 1.704 states/eV per atom.

The space group is P4/mmm (No. 123) and the conventional cell measures 3.886, 3.886 and 10.245 Å, with angles of 90.00, 90.00 and 90.00 degrees. The distinct sites, in fractional coordinates, are Ac at (0.000, 0.000, 0.247), Pm at (0.500, 0.500, 0.500) and Y at (0.500, 0.500, 0.000).

b) A plane-wave DFT calculation with GGA-PBE was carried out for an optimized crystal structure of Ac2PmY.

The volume is 623 Å³/cell. As for the density of states at the Fermi level: 1.827 states/eV per atom.

The space group is Fm-3m (No. 225) and the conventional cell measures 8.540, 8.540 and 8.540 Å, with angles of 90.00, 90.00 and 90.00 degrees. The distinct sites, in fractional coordinates, are Ac at (0.250, 0.250, 0.250), Pm at (0.000, 0.000, 0.000) and Y at (0.000, 0.000, 0.500).

c) A plane-wave DFT calculation with GGA-PBE was carried out for an optimized crystal structure of Ac2PmY.

The volume is 465 Å³/cell. As for the density of states at the Fermi level: 1.561 states/eV per atom.

The space group is R3m (No. 160, hexagonal axes) and the conventional cell measures 3.8307, 3.8307 and 36.5830 Å, with angles of 90.00, 90.00 and 120.00 degrees. The distinct sites, in fractional coordinates, are Ac at (0.0000, 0.0000, 0.0000), Ac at (0.0000, 0.0000, 0.1680), Pm at (0.0000, 0.0000, 0.4163) and Y at (0.0000, 0.0000, 0.5849).

Which of them is most stable? Easy: a).

a) A plane-wave DFT calculation with GGA-PBE was carried out for an optimized crystal structure of AcPm6Y3.

The volume is 1404 Å³/cell. As for the density of states at the Fermi level: 1.437 states/eV per atom.

The space group is Cmc2_1 (No. 36) and the conventional cell measures 9.918, 21.608 and 6.551 Å, with angles of 90.00, 90.00 and 90.00 degrees. The distinct sites, in fractional coordinates, are Ac at (0.000, 0.153, 0.000), Pm at (0.000, 0.010, 0.740), Pm at (0.000, 0.300, 0.792), Pm at (0.173, 0.282, 0.329), Pm at (0.179, 0.442, 0.568), Y at (0.000, 0.418, 0.096) and Y at (0.174, 0.129, 0.481).

b) A plane-wave DFT calculation with GGA-PBE was carried out for an optimized crystal structure of AcPm6Y3.

The volume is 1442 Å³/cell. As for the density of states at the Fermi level: 1.473 states/eV per atom.

The space group is Cmc2_1 (No. 36) and the conventional cell measures 11.555, 13.330 and 9.361 Å, with angles of 90.00, 90.00 and 90.00 degrees. The distinct sites, in fractional coordinates, are Ac at (0.000, 0.248, 0.000), Pm at (0.000, 0.267, 0.444), Pm at (0.000, 0.484, 0.698), Pm at (0.192, 0.113, 0.611), Pm at (0.240, 0.162, 0.260), Y at (0.000, 0.019, 0.347) and Y at (0.215, 0.421, 0.426).

Which of them is most stable? Easy: a).

a) A plane-wave DFT calculation with GGA-PBE was carried out for an optimized crystal structure of AcPm6Y.

The volume is 284 Å³/cell. As for the density of states at the Fermi level: 1.526 states/eV per atom.

The space group is P-1 (No. 2) and the conventional cell measures 6.856, 6.878 and 6.935 Å, with angles of 60.69, 84.43 and 85.52 degrees. The distinct sites, in fractional coordinates, are Ac at (0.000, 0.000, 0.000), Pm at (0.256, 0.478, 0.969), Pm at (0.256, 0.945, 0.490), Pm at (0.274, 0.447, 0.461) and Y at (0.500, 0.000, 0.000).

b) A plane-wave DFT calculation with GGA-PBE was carried out for an optimized crystal structure of AcPm6Y.

The volume is 283 Å³/cell. As for the density of states at the Fermi level: 1.683 states/eV per atom.

The space group is P4/mmm (No. 123) and the conventional cell measures 5.211, 5.211 and 10.407 Å, with angles of 90.00, 90.00 and 90.00 degrees. The distinct sites, in fractional coordinates, are Ac at (0.000, 0.000, 0.000), Pm at (0.000, 0.500, 0.257), Pm at (0.500, 0.500, 0.000), Pm at (0.500, 0.500, 0.500) and Y at (0.000, 0.000, 0.500).

Which of them is most stable? Easy: b).

a) A plane-wave DFT calculation with GGA-PBE was carried out for an optimized crystal structure of AcPmY2.

The volume is 572 Å³/cell. As for the density of states at the Fermi level: 1.408 states/eV per atom.

The space group is P2/c (No. 13) and the conventional cell measures 7.533, 6.304 and 12.602 Å, with angles of 90.00, 107.08 and 90.00 degrees. The distinct sites, in fractional coordinates, are Ac at (0.194, 0.170, 0.379), Pm at (0.066, 0.334, 0.624), Y at (0.315, 0.170, 0.118) and Y at (0.442, 0.333, 0.876).

b) A plane-wave DFT calculation with GGA-PBE was carried out for an optimized crystal structure of AcPmY2.

The volume is 576 Å³/cell. As for the density of states at the Fermi level: 1.670 states/eV per atom.

The space group is Pnma (No. 62) and the conventional cell measures 6.465, 5.936 and 15.019 Å, with angles of 90.00, 90.00 and 90.00 degrees. The distinct sites, in fractional coordinates, are Ac at (0.084, 0.250, 0.066), Pm at (0.083, 0.250, 0.312), Y at (0.078, 0.250, 0.565) and Y at (0.092, 0.250, 0.806).

Which of them is most stable? Easy: b).